Record 1
A relaxed Ba2ZrCdS5 crystal. Source: Alexandria via LeMat-Bulk, functional PBE.

a b c (Å): 9.283 9.283 12.974
angles (deg): 90.00 90.00 154.71
Fractional positions:
1 Ba 0.110 0.890 0.500
2 Ba 0.131 0.869 0.120
3 Ba 0.869 0.131 0.620
4 Ba 0.890 0.110 0.000
5 Zr 0.213 0.787 0.828
6 Zr 0.787 0.213 0.328
7 Cd 0.451 0.549 0.266
8 Cd 0.549 0.451 0.766
9 S 0.069 0.931 0.875
10 S 0.283 0.717 0.459
11 S 0.303 0.697 0.194
12 S 0.351 0.649 0.816
13 S 0.497 0.503 0.591
14 S 0.503 0.497 0.091
15 S 0.649 0.351 0.316
16 S 0.697 0.303 0.694
17 S 0.717 0.283 0.959
18 S 0.931 0.069 0.375

Calculated values
- raw formation energy (kJ per mole of atoms) = -152.28
- SG = Cmc2_1 (36)

***

Record 2
A relaxed BaCdSb2 crystal. Source: Alexandria via LeMat-Bulk, functional PBE.

a b c (Å): 6.388 6.388 6.388
angles (deg): 135.62 135.62 64.57
Fractional positions:
1 Ba 0.000 0.000 0.000
2 Cd 0.500 0.500 0.000
3 Sb 0.250 0.750 0.500
4 Sb 0.750 0.250 0.500

Calculated values
- raw formation energy (kJ per mole of atoms) = -36.69
- SG = I4/mmm (139)

***

Record 3
A relaxed BaCdSb2 crystal. Source: Alexandria via LeMat-Bulk, functional PBE.

a b c (Å): 4.510 4.241 6.954
angles (deg): 90.00 97.66 90.00
Fractional positions:
1 Ba 0.000 0.000 0.000
2 Cd 0.000 0.000 0.500
3 Sb 0.430 0.500 0.698
4 Sb 0.570 0.500 0.302

Calculated values
- raw formation energy (kJ per mole of atoms) = -34.21
- SG = P2/m (10)